[1]
Computed, not measured: crystalline ZrBOs at its relaxed geometry at the PBE level of DFT.

Calculated values
Calculated formation energy: -0.215 eV per atom
Spin magnetization: 0.0 Bohr magnetons per cell

a = 4.299 Å, b = 5.493 Å, c = 4.299 Å
α = 71.05°, β = 80.22°, γ = 108.95°
Positions (direct):
B1 0.115 0.000 0.885
B2 0.783 0.000 0.217
Zr1 0.449 0.500 0.551
Zr2 0.949 0.500 0.051
Os1 0.242 0.000 0.343
Os2 0.657 0.000 0.758

[2]
Computed, not measured: crystalline Zr2B2Os at its relaxed geometry at the PBE level of DFT.

Calculated values
Calculated formation energy: -0.734 eV per atom
Spin magnetization: 0.0 Bohr magnetons per cell

a = 6.185 Å, b = 6.185 Å, c = 3.494 Å
α = 90.00°, β = 90.00°, γ = 90.00°
Positions (direct):
B1 0.393 0.893 0.000
B2 0.893 0.607 0.000
B3 0.607 0.107 0.000
B4 0.107 0.393 0.000
Os1 0.000 0.000 0.000
Os2 0.500 0.500 0.000
Zr1 0.180 0.680 0.500
Zr2 0.680 0.820 0.500
Zr3 0.820 0.320 0.500
Zr4 0.320 0.180 0.500

[3]
Computed, not measured: crystalline ZrB2Os2 at its relaxed geometry at the PBE level of DFT.

Calculated values
Calculated formation energy: -0.077 eV per atom
Spin magnetization: 0.0 Bohr magnetons per cell

a = 6.533 Å, b = 6.533 Å, c = 2.860 Å
α = 90.00°, β = 90.00°, γ = 90.00°
Positions (direct):
B1 0.366 0.866 0.000
B2 0.866 0.634 0.000
B3 0.634 0.134 0.000
B4 0.134 0.366 0.000
Os1 0.147 0.647 0.500
Os2 0.647 0.853 0.500
Os3 0.853 0.353 0.500
Os4 0.353 0.147 0.500
Zr1 0.000 0.000 0.000
Zr2 0.500 0.500 0.000

[4]
Computed, not measured: crystalline ZrB2Os2 at its relaxed geometry at the PBE level of DFT.

Calculated values
Calculated formation energy: -0.105 eV per atom
Spin magnetization: 0.0 Bohr magnetons per cell

a = 3.951 Å, b = 3.951 Å, c = 5.069 Å
α = 67.06°, β = 67.06°, γ = 90.00°
Positions (direct):
B1 0.750 0.250 0.500
B2 0.250 0.750 0.500
Os1 0.356 0.356 0.289
Os2 0.644 0.644 0.711
Zr1 0.000 0.000 0.000

[5]
Computed, not measured: crystalline ZrB3Os at its relaxed geometry at the PBE level of DFT.

Calculated values
Calculated formation energy: 0.465 eV per atom
Energy above the lowest structure with this stoichiometry: 0 meV/atom
Spin magnetization: 0.0 Bohr magnetons per cell

a = 4.028 Å, b = 4.028 Å, c = 4.028 Å
α = 90.00°, β = 90.00°, γ = 90.00°
Positions (direct):
B1 0.000 0.500 0.000
B2 0.000 0.000 0.500
B3 0.500 0.000 0.000
Os1 0.000 0.000 0.000
Zr1 0.500 0.500 0.500

[6]
Computed, not measured: crystalline B2P at its relaxed geometry at the PBE level of DFT.

Calculated values
Calculated formation energy: 0.015 eV per atom
Energy above the lowest structure with this stoichiometry: 23 meV/atom
Spin magnetization: 0.0 Bohr magnetons per cell

a = 3.166 Å, b = 4.084 Å, c = 4.827 Å
α = 104.87°, β = 96.14°, γ = 97.49°
Positions (direct):
P1 0.870 0.053 0.729
P2 0.274 0.407 0.361
B1 0.314 0.762 0.737
B2 0.727 0.117 0.345
B3 0.631 0.741 0.071
B4 0.061 0.523 0.992

[7]
Computed, not measured: crystalline BP2 at its relaxed geometry at the PBE level of DFT.

Calculated values
Calculated formation energy: 0.478 eV per atom
Energy above the lowest structure with this stoichiometry: 362 meV/atom
Spin magnetization: 0.0 Bohr magnetons per cell

a = 3.058 Å, b = 2.434 Å, c = 5.122 Å
α = 90.00°, β = 106.98°, γ = 90.00°
Positions (direct):
P1 0.865 0.500 0.723
P2 0.135 0.500 0.277
B1 0.500 0.500 0.000

[8]
Computed, not measured: crystalline B2P at its relaxed geometry at the PBE level of DFT.

Calculated values
Calculated formation energy: 0.057 eV per atom
Energy above the lowest structure with this stoichiometry: 65 meV/atom
Spin magnetization: 0.0 Bohr magnetons per cell

a = 6.944 Å, b = 3.150 Å, c = 5.473 Å
α = 90.00°, β = 90.00°, γ = 90.00°
Positions (direct):
P1 0.729 0.000 0.104
P2 0.271 0.000 0.104
P3 0.729 0.500 0.604
P4 0.271 0.500 0.604
B1 0.628 0.000 0.442
B2 0.372 0.000 0.442
B3 0.628 0.500 0.942
B4 0.372 0.500 0.942
B5 0.000 0.000 0.930
B6 0.000 0.500 0.430
B7 0.000 0.000 0.280
B8 0.000 0.500 0.780

[9]
Computed, not measured: crystalline B2P at its relaxed geometry at the PBE level of DFT.

Calculated values
Calculated formation energy: 0.464 eV per atom
Energy above the lowest structure with this stoichiometry: 472 meV/atom
Spin magnetization: 0.0 Bohr magnetons per cell

a = 3.283 Å, b = 3.204 Å, c = 5.418 Å
α = 90.00°, β = 96.34°, γ = 90.00°
Positions (direct):
P1 0.000 0.023 0.000
P2 0.000 0.523 0.500
B1 0.617 0.224 0.228
B2 0.383 0.224 0.772
B3 0.617 0.724 0.728
B4 0.383 0.724 0.272

[10]
Computed, not measured: crystalline B6P at its relaxed geometry at the PBE level of DFT.

Calculated values
Calculated formation energy: -0.292 eV per atom
Spin magnetization: 0.0 Bohr magnetons per cell

a = 5.253 Å, b = 5.253 Å, c = 5.253 Å
α = 69.56°, β = 69.56°, γ = 69.56°
Positions (direct):
B1 0.718 0.184 0.184
B2 0.184 0.184 0.718
B3 0.184 0.718 0.184
B4 0.816 0.282 0.816
B5 0.282 0.816 0.816
B6 0.816 0.816 0.282
B7 0.326 0.013 0.013
B8 0.013 0.013 0.326
B9 0.013 0.326 0.013
B10 0.987 0.674 0.987
B11 0.674 0.987 0.987
B12 0.987 0.987 0.674
P1 0.405 0.405 0.405
P2 0.595 0.595 0.595

[11]
Computed, not measured: crystalline B2P at its relaxed geometry at the PBE level of DFT.

Calculated values
Calculated formation energy: 0.393 eV per atom
Energy above the lowest structure with this stoichiometry: 401 meV/atom
Spin magnetization: 0.0 Bohr magnetons per cell

a = 2.453 Å, b = 3.207 Å, c = 8.494 Å
α = 90.00°, β = 90.00°, γ = 90.00°
Positions (direct):
P1 0.000 0.500 0.606
P2 0.500 0.000 0.106
B1 0.000 0.500 0.382
B2 0.500 0.000 0.882
B3 0.000 0.000 0.740
B4 0.500 0.500 0.240

[12]
Computed, not measured: crystalline BP2 at its relaxed geometry at the PBE level of DFT.

Calculated values
Calculated formation energy: 0.376 eV per atom
Energy above the lowest structure with this stoichiometry: 260 meV/atom
Spin magnetization: 0.0 Bohr magnetons per cell

a = 3.144 Å, b = 2.331 Å, c = 5.970 Å
α = 90.00°, β = 106.09°, γ = 90.00°
Positions (direct):
P1 0.850 0.500 0.127
P2 0.630 0.500 0.660
B1 0.027 0.500 0.465

Looking at E for the records above, in order, we have -9.0336 -9.0703 -8.9491 -8.9779 -7.4972 -6.2402 -5.3546 -6.1981 -5.7909 -6.7879 -5.8619 -5.4566 eV per atom.